(1)
DFT (PBE) results for a relaxed BeNb2TcN crystal. Values from VASP.

Calculated values
M_tot   0.0 μB per formula unit
ΔE_f (raw)   -2.41 eV per formula unit
DOS(E_F)   1.790 states/eV/cell
Symmetry   P4/mmm (123)

```
&SYSTEM
  ibrav = 0, nat = 5, ntyp = 4
/
ATOMIC_SPECIES
Be 9.01 Be.upf
Nb 92.91 Nb.upf
Tc 98.00 Tc.upf
N 14.01 N.upf
ATOMIC_POSITIONS crystal
Be 0.000 0.000 0.000
Nb 0.000 0.500 0.500
Nb 0.500 0.000 0.500
Tc 0.500 0.500 0.000
N 0.000 0.000 0.500
CELL_PARAMETERS angstrom
4.407 0.000 0.000
0.000 4.407 0.000
0.000 0.000 3.328
```

---

(2)
DFT (PBE) results for a relaxed K4Sm3GaO8 crystal. Values from VASP.

Calculated values
M_tot   0.1 μB per formula unit
ΔE_f (raw)   -37.32 eV per formula unit
DOS(E_F)   0.000 states/eV/cell
Symmetry   C2/m (12)

```
&SYSTEM
  ibrav = 0, nat = 16, ntyp = 4
/
ATOMIC_SPECIES
K 39.10 K.upf
Sm 150.36 Sm.upf
Ga 69.72 Ga.upf
O 16.00 O.upf
ATOMIC_POSITIONS crystal
K 0.000 0.000 0.000
K 0.000 0.500 0.000
K 0.500 0.000 0.000
K 0.500 0.500 0.000
Sm 0.000 0.000 0.500
Sm 0.000 0.500 0.500
Sm 0.500 0.000 0.500
Ga 0.500 0.500 0.500
O 0.226 0.226 0.690
O 0.252 0.252 0.290
O 0.262 0.701 0.673
O 0.299 0.738 0.327
O 0.701 0.262 0.673
O 0.738 0.299 0.327
O 0.748 0.748 0.710
O 0.774 0.774 0.310
CELL_PARAMETERS angstrom
6.131 -3.445 0.000
6.131 3.445 0.000
-3.973 0.000 6.284
```

---

(3)
DFT (PBE) results for a relaxed BeHgS2 crystal. Values from VASP.

Calculated values
M_tot   0.0 μB per formula unit
ΔE_f (raw)   -1.74 eV per formula unit
DOS(E_F)   0.000 states/eV/cell
Energy above the lowest structure with this stoichiometry   0.1228 eV per atom
Symmetry   R3m (160)

```
&SYSTEM
  ibrav = 0, nat = 4, ntyp = 3
/
ATOMIC_SPECIES
Be 9.01 Be.upf
Hg 200.59 Hg.upf
S 32.06 S.upf
ATOMIC_POSITIONS crystal
Be 0.000 0.000 0.000
Hg 0.494 0.494 0.494
S 0.365 0.365 0.365
S 0.895 0.895 0.895
CELL_PARAMETERS angstrom
1.892 1.092 6.481
-1.892 1.092 6.481
0.000 -2.184 6.481
```

---

(4)
DFT (PBE) results for a relaxed Cd2CuAg crystal. Values from VASP.

Calculated values
Calculated formation energy   0.033 eV per atom
M_tot   0.0 μB per formula unit
DOS(E_F)   1.231 states/eV/cell
Symmetry   Imm2 (44)

```
&SYSTEM
  ibrav = 0, nat = 4, ntyp = 3
/
ATOMIC_SPECIES
Cd 112.41 Cd.upf
Cu 63.55 Cu.upf
Ag 107.87 Ag.upf
ATOMIC_POSITIONS crystal
Cd 0.000 0.000 0.000
Cd 0.727 0.227 0.500
Cu 0.493 0.493 0.000
Ag 0.267 0.767 0.500
CELL_PARAMETERS angstrom
-1.656 2.332 4.691
1.656 -2.332 4.691
1.656 2.332 -4.691
```

---

(5)
DFT (PBE) results for a relaxed Ba2DyInS5 crystal. Values from VASP.

Calculated values
M_tot   0.0 μB per formula unit
ΔE_f (raw)   -15.45 eV per formula unit
DOS(E_F)   0.000 states/eV/cell
Symmetry   Cmc2_1 (36)

```
&SYSTEM
  ibrav = 0, nat = 18, ntyp = 4
/
ATOMIC_SPECIES
Ba 137.33 Ba.upf
Dy 162.50 Dy.upf
In 114.82 In.upf
S 32.06 S.upf
ATOMIC_POSITIONS crystal
Ba 0.116 0.884 0.500
Ba 0.133 0.867 0.132
Ba 0.867 0.133 0.632
Ba 0.884 0.116 0.000
Dy 0.212 0.788 0.838
Dy 0.788 0.212 0.338
In 0.447 0.553 0.260
In 0.553 0.447 0.760
S 0.052 0.948 0.869
S 0.290 0.710 0.475
S 0.314 0.686 0.194
S 0.355 0.645 0.820
S 0.496 0.504 0.592
S 0.504 0.496 0.092
S 0.645 0.355 0.320
S 0.686 0.314 0.694
S 0.710 0.290 0.975
S 0.948 0.052 0.369
CELL_PARAMETERS angstrom
2.076 -9.172 0.000
2.076 9.172 0.000
0.000 0.000 13.027
```

---

(6)
DFT (PBE) results for a relaxed TbPuTlHg crystal. Values from VASP.

Calculated values
Calculated formation energy   -0.214 eV per atom
M_tot   6.4 μB per formula unit
DOS(E_F)   10.010 states/eV/cell
Energy above the lowest structure with this stoichiometry   0.0027 eV per atom
Symmetry   F-43m (216)

```
&SYSTEM
  ibrav = 0, nat = 4, ntyp = 4
/
ATOMIC_SPECIES
Tb 158.93 Tb.upf
Pu 244.00 Pu.upf
Tl 204.38 Tl.upf
Hg 200.59 Hg.upf
ATOMIC_POSITIONS crystal
Tb 0.000 0.000 0.000
Pu 0.500 0.500 0.500
Tl 0.250 0.250 0.250
Hg 0.750 0.750 0.750
CELL_PARAMETERS angstrom
0.000 3.790 3.790
3.790 0.000 3.790
3.790 3.790 0.000
```